Entry 1:
A geometry-optimized AlInMo structure, computed with PBE.

a b c (Å): 6.383 6.383 6.383
angles (deg): 90.00 90.00 90.00
Atoms (fractional coordinates):
Al1 0.000 0.000 0.000
Al2 0.000 0.500 0.500
Al3 0.500 0.000 0.500
Al4 0.500 0.500 0.000
In1 0.000 0.000 0.500
In2 0.000 0.500 0.000
In3 0.500 0.000 0.000
In4 0.500 0.500 0.500
Mo1 0.250 0.250 0.750
Mo2 0.250 0.750 0.250
Mo3 0.750 0.250 0.250
Mo4 0.750 0.750 0.750

Values from the calculation:
V = 21.7 A^3/atom
symmetry = F-43m (216)
energy of formation from the pure elements = 0.606 eV per atom

Entry 2:
A geometry-optimized Na4Sn5Bi2 structure, computed with PBE.

a b c (Å): 8.459 3.240 11.323
angles (deg): 90.00 93.98 90.00
Atoms (fractional coordinates):
Na1 0.163 0.000 0.402
Na2 0.300 0.000 0.946
Na3 0.700 0.000 0.054
Na4 0.837 0.000 0.598
Sn1 0.207 0.500 0.667
Sn2 0.441 0.500 0.219
Sn3 0.500 0.500 0.500
Sn4 0.559 0.500 0.781
Sn5 0.793 0.500 0.333
Bi1 0.059 0.500 0.141
Bi2 0.941 0.500 0.859

Values from the calculation:
V = 28.1 A^3/atom
symmetry = P2/m (10)
energy of formation from the pure elements = -0.145 eV per atom

Entry 3:
A geometry-optimized Ce2AlNi12P3 structure, computed with PBE.

a b c (Å): 7.041 7.041 7.041
angles (deg): 64.64 64.64 64.64
Atoms (fractional coordinates):
Ce1 0.116 0.116 0.116
Ce2 0.884 0.884 0.884
Al1 0.500 0.500 0.500
Ni1 0.118 0.635 0.635
Ni2 0.151 0.151 0.603
Ni3 0.151 0.603 0.151
Ni4 0.365 0.365 0.882
Ni5 0.365 0.882 0.365
Ni6 0.397 0.849 0.849
Ni7 0.603 0.151 0.151
Ni8 0.635 0.118 0.635
Ni9 0.635 0.635 0.118
Ni10 0.849 0.397 0.849
Ni11 0.849 0.849 0.397
Ni12 0.882 0.365 0.365
P1 0.000 0.500 0.500
P2 0.500 0.000 0.500
P3 0.500 0.500 0.000

Values from the calculation:
V = 15.1 A^3/atom
symmetry = R-3m (166)
energy of formation from the pure elements = -0.149 eV per atom

Entry 4:
A geometry-optimized Y4Ho9In11 structure, computed with PBE.

a b c (Å): 14.074 14.074 3.484
angles (deg): 90.00 90.00 111.27
Atoms (fractional coordinates):
Y1 0.091 0.254 0.000
Y2 0.254 0.091 0.000
Y3 0.746 0.909 0.000
Y4 0.909 0.746 0.000
Ho1 0.000 0.000 0.000
Ho2 0.113 0.665 0.000
Ho3 0.297 0.488 0.000
Ho4 0.335 0.887 0.000
Ho5 0.488 0.297 0.000
Ho6 0.512 0.703 0.000
Ho7 0.665 0.113 0.000
Ho8 0.703 0.512 0.000
Ho9 0.887 0.335 0.000
In1 0.091 0.457 0.500
In2 0.121 0.879 0.500
In3 0.295 0.295 0.500
In4 0.312 0.688 0.500
In5 0.457 0.091 0.500
In6 0.500 0.500 0.500
In7 0.543 0.909 0.500
In8 0.688 0.312 0.500
In9 0.705 0.705 0.500
In10 0.879 0.121 0.500
In11 0.909 0.543 0.500

Values from the calculation:
V = 26.8 A^3/atom
symmetry = Cmmm (65)
energy of formation from the pure elements = -0.397 eV per atom

Entry 5:
A geometry-optimized Th2Sc3Si4 structure, computed with PBE.

a b c (Å): 7.501 7.484 7.258
angles (deg): 90.00 109.37 90.00
Atoms (fractional coordinates):
Th1 0.193 0.174 0.069
Th2 0.193 0.326 0.569
Th3 0.807 0.674 0.431
Th4 0.807 0.826 0.931
Sc1 0.249 0.675 0.246
Sc2 0.249 0.825 0.746
Sc3 0.500 0.000 0.500
Sc4 0.500 0.500 0.000
Sc5 0.751 0.175 0.254
Sc6 0.751 0.325 0.754
Si1 0.079 0.539 0.860
Si2 0.079 0.961 0.360
Si3 0.497 0.122 0.872
Si4 0.497 0.378 0.372
Si5 0.503 0.622 0.628
Si6 0.503 0.878 0.128
Si7 0.921 0.039 0.640
Si8 0.921 0.461 0.140

Values from the calculation:
formation energy without anion corrections = -7.16 eV per formula unit
V = 21.4 A^3/atom
symmetry = P2_1/c (14)

Entry 6:
A geometry-optimized Si2AsRh structure, computed with PBE.

a b c (Å): 3.253 3.253 20.766
angles (deg): 90.00 90.00 120.00
Atoms (fractional coordinates):
Si1 0.000 0.000 0.000
Si2 0.000 0.000 0.247
Si3 0.333 0.667 0.667
Si4 0.333 0.667 0.914
Si5 0.667 0.333 0.333
Si6 0.667 0.333 0.580
As1 0.000 0.000 0.746
As2 0.333 0.667 0.412
As3 0.667 0.333 0.079
Rh1 0.000 0.000 0.507
Rh2 0.333 0.667 0.174
Rh3 0.667 0.333 0.840

Values from the calculation:
formation energy without anion corrections = -0.06 eV per formula unit
V = 15.9 A^3/atom
symmetry = R3m (160)

Number 3 is which compound?
Ce2AlNi12P3

Please write out number 3 again, unchanged.
A geometry-optimized Ce2AlNi12P3 structure, computed with PBE.

a b c (Å): 7.041 7.041 7.041
angles (deg): 64.64 64.64 64.64
Atoms (fractional coordinates):
Ce1 0.116 0.116 0.116
Ce2 0.884 0.884 0.884
Al1 0.500 0.500 0.500
Ni1 0.118 0.635 0.635
Ni2 0.151 0.151 0.603
Ni3 0.151 0.603 0.151
Ni4 0.365 0.365 0.882
Ni5 0.365 0.882 0.365
Ni6 0.397 0.849 0.849
Ni7 0.603 0.151 0.151
Ni8 0.635 0.118 0.635
Ni9 0.635 0.635 0.118
Ni10 0.849 0.397 0.849
Ni11 0.849 0.849 0.397
Ni12 0.882 0.365 0.365
P1 0.000 0.500 0.500
P2 0.500 0.000 0.500
P3 0.500 0.500 0.000

Values from the calculation:
V = 15.1 A^3/atom
symmetry = R-3m (166)
energy of formation from the pure elements = -0.149 eV per atom

Among the records above, which one has the lowest V?
Ce2AlNi12P3

What is the V in the first record?
21.7 A^3/atom